No. 1
TaHPtW2 after structural relaxation. Source: Alexandria via LeMat-Bulk, functional GGA-PBE.

## Properties
E = -47.60 eV/cell

Structure (CIF):
```
data_TaHPtW2
_chemical_formula_sum 'Ta1 H1 Pt1 W2'
_symmetry_space_group_name_H-M 'P 4/m m m'
_symmetry_Int_Tables_number 123
_symmetry_space_group_name_Hall '-P 4 2'
_cell_length_a 4.0289
_cell_length_b 4.0289
_cell_length_c 4.1411
_cell_angle_alpha 90.00
_cell_angle_beta 90.00
_cell_angle_gamma 90.00
loop_
_atom_site_label
_atom_site_type_symbol
_atom_site_fract_x
_atom_site_fract_y
_atom_site_fract_z
Ta1 Ta 0.0000 0.0000 0.0000
H1 H 0.0000 0.0000 0.5000
Pt1 Pt 0.5000 0.5000 0.0000
W1 W 0.0000 0.5000 0.5000
```



No. 2
SiNi after structural relaxation. Source: Alexandria via LeMat-Bulk, functional GGA-PBE.

## Properties
Energy relative to the elements, uncorrected = -0.073 eV per atom

Structure (CIF):
```
data_SiNi
_chemical_formula_sum 'Si4 Ni4'
_symmetry_space_group_name_H-M 'P m m n'
_symmetry_Int_Tables_number 59
_cell_length_a 4.1434
_cell_length_b 7.0276
_cell_length_c 4.1092
_cell_angle_alpha 90.00
_cell_angle_beta 90.00
_cell_angle_gamma 90.00
loop_
_symmetry_equiv_pos_as_xyz
'x,y,z'
'-x,-y,-z'
'-x+1/2,-y+1/2,z'
'x+1/2,y+1/2,-z'
'x+1/2,-y,-z'
'-x+1/2,y,z'
'-x,y+1/2,-z'
'x,-y+1/2,z'
loop_
_atom_site_label
_atom_site_type_symbol
_atom_site_fract_x
_atom_site_fract_y
_atom_site_fract_z
Si1 Si 0.2500 0.0808 0.1336
Ni1 Ni 0.2500 0.5692 0.6358
```



No. 3
SrTl after structural relaxation. Source: Alexandria via LeMat-Bulk, functional GGA-PBE.

## Properties
ΔE_f = -0.1556 eV/atom

Structure (CIF):
```
data_SrTl
_chemical_formula_sum 'Sr4 Tl4'
_symmetry_space_group_name_H-M 'F m -3 m'
_symmetry_Int_Tables_number 225
_symmetry_space_group_name_Hall '-F 4 2 3'
_cell_length_a 6.8661
_cell_length_b 6.8661
_cell_length_c 6.8661
_cell_angle_alpha 90.00
_cell_angle_beta 90.00
_cell_angle_gamma 90.00
loop_
_atom_site_label
_atom_site_type_symbol
_atom_site_fract_x
_atom_site_fract_y
_atom_site_fract_z
Sr1 Sr 0.0000 0.0000 0.0000
Tl1 Tl 0.0000 0.0000 0.5000
```



No. 4
HoCdSeO5 after structural relaxation. Source: Alexandria via LeMat-Bulk, functional GGA-PBE.

## Properties
Energy relative to the elements, uncorrected = -1.558 eV per atom

Structure (CIF):
```
data_HoCdSeO5
_chemical_formula_sum 'Ho4 Cd4 Se4 O20'
_symmetry_space_group_name_H-M 'C 1 2/c 1'
_symmetry_Int_Tables_number 15
_symmetry_space_group_name_Hall '-C 2yc'
_cell_length_a 8.1943
_cell_length_b 8.8151
_cell_length_c 8.3201
_cell_angle_alpha 90.00
_cell_angle_beta 119.44
_cell_angle_gamma 90.00
loop_
_atom_site_label
_atom_site_type_symbol
_atom_site_fract_x
_atom_site_fract_y
_atom_site_fract_z
Ho1 Ho 0.0000 0.0000 0.0000
Cd1 Cd 0.0000 0.3107 0.2500
Se1 Se 0.0000 0.3356 0.7500
O1 O 0.0000 0.0718 0.2500
O2 O 0.0333 0.2581 0.5603
O3 O 0.1764 0.4707 0.8565
```



No. 5
EuPdPt after structural relaxation. Source: Alexandria via LeMat-Bulk, functional GGA-PBE.

## Properties
ΔE_f = -0.6764 eV/atom

Structure (CIF):
```
data_EuPdPt
_chemical_formula_sum 'Eu1 Pd1 Pt1'
_symmetry_space_group_name_H-M 'P -6 m 2'
_symmetry_Int_Tables_number 187
_symmetry_space_group_name_Hall 'P -6 2'
_cell_length_a 4.4342
_cell_length_b 4.4342
_cell_length_c 3.9972
_cell_angle_alpha 90.00
_cell_angle_beta 90.00
_cell_angle_gamma 120.00
loop_
_atom_site_label
_atom_site_type_symbol
_atom_site_fract_x
_atom_site_fract_y
_atom_site_fract_z
Eu1 Eu 0.0000 0.0000 0.0000
Pd1 Pd 0.6667 0.3333 0.5000
Pt1 Pt 0.3333 0.6667 0.5000
```



No. 6
BeGa2N after structural relaxation. Source: Alexandria via LeMat-Bulk, functional GGA-PBE.

## Properties
Energy relative to the elements, uncorrected = 1.078 eV per atom
Relative energy among the computed polymorphs = 765 meV per atom

Structure (CIF):
```
data_BeGa2N
_chemical_formula_sum 'Be4 Ga8 N4'
_symmetry_space_group_name_H-M 'F m -3 m'
_symmetry_Int_Tables_number 225
_symmetry_space_group_name_Hall '-F 4 2 3'
_cell_length_a 5.9354
_cell_length_b 5.9354
_cell_length_c 5.9354
_cell_angle_alpha 90.00
_cell_angle_beta 90.00
_cell_angle_gamma 90.00
loop_
_atom_site_label
_atom_site_type_symbol
_atom_site_fract_x
_atom_site_fract_y
_atom_site_fract_z
Be1 Be 0.0000 0.0000 0.0000
Ga1 Ga 0.2500 0.2500 0.2500
N1 N 0.0000 0.0000 0.5000
```



No. 7
Fe2HgP after structural relaxation. Source: Alexandria via LeMat-Bulk, functional GGA-PBE.

## Properties
ΔE_f = 0.0408 eV/atom
Relative energy among the computed polymorphs = 2 meV per atom

Structure (CIF):
```
data_Fe2HgP
_chemical_formula_sum 'Fe4 Hg2 P2'
_symmetry_space_group_name_H-M 'I m m 2'
_symmetry_Int_Tables_number 44
_symmetry_space_group_name_Hall 'I 2 -2'
_cell_length_a 2.8544
_cell_length_b 3.1193
_cell_length_c 13.2869
_cell_angle_alpha 90.00
_cell_angle_beta 90.00
_cell_angle_gamma 90.00
loop_
_atom_site_label
_atom_site_type_symbol
_atom_site_fract_x
_atom_site_fract_y
_atom_site_fract_z
Fe1 Fe 0.0000 0.0000 0.0000
Fe2 Fe 0.0000 0.5000 0.3269
Hg1 Hg 0.0000 0.5000 0.6824
P1 P 0.0000 0.0000 0.4451
```



No. 8
HfMn2HIr after structural relaxation. Source: Alexandria via LeMat-Bulk, functional GGA-PBE.

## Properties
Relative energy among the computed polymorphs = 50 meV per atom

Structure (CIF):
```
data_HfMn2HIr
_chemical_formula_sum 'Hf1 Mn2 H1 Ir1'
_symmetry_space_group_name_H-M 'P 4/m m m'
_symmetry_Int_Tables_number 123
_symmetry_space_group_name_Hall '-P 4 2'
_cell_length_a 3.9805
_cell_length_b 3.9805
_cell_length_c 3.9560
_cell_angle_alpha 90.00
_cell_angle_beta 90.00
_cell_angle_gamma 90.00
loop_
_atom_site_label
_atom_site_type_symbol
_atom_site_fract_x
_atom_site_fract_y
_atom_site_fract_z
Hf1 Hf 0.0000 0.0000 0.0000
Mn1 Mn 0.0000 0.5000 0.5000
H1 H 0.5000 0.5000 0.5000
Ir1 Ir 0.5000 0.5000 0.0000
```